No. 1
The following is a DFT calculation (GGA-PBE) of a relaxed structure of AlSb8.

a b c (Å): 11.704 11.704 3.745
angles (deg): 90.00 90.00 90.00
Space group I4/mmm (No. 139)
Symmetry-distinct sites (fractional):
Al1 0.000 0.000 0.000
Sb1 0.000 0.348 0.000
Sb2 0.134 0.134 0.500

VASP energy = -69.90 eV per cell

No. 2
The following is a DFT calculation (GGA-PBE) of a relaxed structure of Rb2MnCuPt.

a b c (Å): 6.477 6.477 4.962
angles (deg): 90.00 90.00 90.00
Space group P4/mmm (No. 123)
Symmetry-distinct sites (fractional):
Rb1 0.000 0.500 0.000
Mn1 0.000 0.000 0.500
Cu1 0.500 0.500 0.500
Pt1 0.000 0.000 0.000

energy of formation = 2.936 eV per formula unit
VASP energy = -18.31 eV per cell

No. 3
The following is a DFT calculation (GGA-PBE) of a relaxed structure of InTc2Os.

a b c (Å): 2.835 3.939 5.716
angles (deg): 90.00 90.13 90.00
Space group Pm (No. 6)
Symmetry-distinct sites (fractional):
In1 0.000 0.000 0.000
Tc1 0.501 0.500 0.277
Tc2 0.999 0.000 0.500
Os1 0.498 0.500 0.726

energy of formation = 1.298 eV per formula unit
VASP energy = -33.40 eV per cell

No. 4
The following is a DFT calculation (GGA-PBE) of a relaxed structure of Li2PmPrGe2.

a b c (Å): 4.5031 4.5031 7.5646
angles (deg): 90.00 90.00 120.00
Space group P-3m1 (No. 164)
Symmetry-distinct sites (fractional):
Li1 0.3333 0.6667 0.2391
Pm1 0.0000 0.0000 0.0000
Pr1 0.0000 0.0000 0.5000
Ge1 0.3333 0.6667 0.7552

energy of formation = -4.009 eV per formula unit
VASP energy = -26.60 eV per cell

No. 5
The following is a DFT calculation (GGA-PBE) of a relaxed structure of Sm2Si5Ru3.

a b c (Å): 10.799 10.799 5.721
angles (deg): 90.00 90.00 90.00
Space group P4/mnc (No. 128)
Symmetry-distinct sites (fractional):
Sm1 0.071 0.235 0.000
Si1 0.000 0.000 0.267
Si2 0.023 0.321 0.500
Si3 0.173 0.673 0.250
Ru1 0.000 0.500 0.250
Ru2 0.124 0.853 0.500

VASP energy = -291.44 eV per cell

No. 6
The following is a DFT calculation (GGA-PBE) of a relaxed structure of LiSnF4.

a b c (Å): 5.542 5.542 5.616
angles (deg): 90.00 90.00 90.00
Space group I-4 (No. 82)
Symmetry-distinct sites (fractional):
Li1 0.000 0.000 0.000
Sn1 0.000 0.500 0.250
F1 0.224 0.247 0.078

VASP energy = -54.97 eV per cell

No. 7
The following is a DFT calculation (GGA-PBE) of a relaxed structure of BeAsP2.

a b c (Å): 4.306 4.306 3.137
angles (deg): 90.00 90.00 90.00
Space group P4/mmm (No. 123)
Symmetry-distinct sites (fractional):
Be1 0.000 0.000 0.000
As1 0.500 0.500 0.000
P1 0.000 0.500 0.500

offset from the most stable computed form = 0.6549 eV per atom
energy of formation = 2.678 eV per formula unit
VASP energy = -16.52 eV per cell

No. 8
The following is a DFT calculation (GGA-PBE) of a relaxed structure of Na2RuPt.

a b c (Å): 8.052 8.052 5.018
angles (deg): 90.00 90.00 90.00
Space group I-42d (No. 122)
Symmetry-distinct sites (fractional):
Na1 0.236 0.250 0.125
Ru1 0.000 0.000 0.500
Pt1 0.000 0.000 0.000

offset from the most stable computed form = 0.0000 eV per atom
energy of formation = 3.138 eV per formula unit
VASP energy = -59.27 eV per cell

No. 9
The following is a DFT calculation (GGA-PBE) of a relaxed structure of La2SmTmSe6.

a b c (Å): 7.4582 7.4582 19.5387
angles (deg): 90.00 90.00 120.00
Space group R3 (No. 146, hexagonal axes)
Symmetry-distinct sites (fractional):
La1 0.0000 0.0000 0.0000
La2 0.0000 0.0000 0.4983
Sm1 0.0000 0.0000 0.2049
Tm1 0.0000 0.0000 0.7026
Se1 0.0471 0.3502 0.7731
Se2 0.0508 0.6874 0.2746

VASP energy = -177.16 eV per cell

No. 10
The following is a DFT calculation (GGA-PBE) of a relaxed structure of TlHgSbTe2.

a b c (Å): 9.125 4.464 9.586
angles (deg): 90.00 107.20 90.00
Space group P2_1/m (No. 11)
Symmetry-distinct sites (fractional):
Tl1 0.184 0.250 0.168
Hg1 0.489 0.750 0.288
Sb1 0.153 0.250 0.674
Te1 0.178 0.750 0.443
Te2 0.185 0.750 0.896

offset from the most stable computed form = 0.0000 eV per atom
VASP energy = -27.57 eV per cell

No. 11
The following is a DFT calculation (GGA-PBE) of a relaxed structure of RbSiNi3.

a b c (Å): 4.618 4.618 4.618
angles (deg): 90.00 90.00 90.00
Space group Pm-3m (No. 221)
Symmetry-distinct sites (fractional):
Rb1 0.000 0.000 0.000
Si1 0.500 0.500 0.500
Ni1 0.000 0.000 0.500

offset from the most stable computed form = 1.7751 eV per atom
VASP energy = -12.51 eV per cell

No. 12
The following is a DFT calculation (GGA-PBE) of a relaxed structure of Mn2FeAu.

a b c (Å): 6.705 6.705 5.153
angles (deg): 90.00 90.00 90.00
Space group I-42d (No. 122)
Symmetry-distinct sites (fractional):
Mn1 0.206 0.250 0.125
Fe1 0.000 0.000 0.000
Au1 0.000 0.000 0.500

offset from the most stable computed form = 0.4574 eV per atom
energy of formation = 2.392 eV per formula unit
VASP energy = -110.75 eV per cell

No. 13
The following is a DFT calculation (GGA-PBE) of a relaxed structure of Sr2CdAg.

a b c (Å): 4.4923 4.4923 25.4794
angles (deg): 90.00 90.00 120.00
Space group R3m (No. 160, hexagonal axes)
Symmetry-distinct sites (fractional):
Sr1 0.0000 0.0000 0.0000
Sr2 0.0000 0.0000 0.1820
Cd1 0.0000 0.0000 0.4247
Ag1 0.0000 0.0000 0.5903

energy of formation = -0.638 eV per formula unit
VASP energy = -23.30 eV per cell

No. 14
The following is a DFT calculation (GGA-PBE) of a relaxed structure of BaCdPbCl6.

a b c (Å): 7.2068 7.2068 13.2759
angles (deg): 90.00 90.00 120.00
Space group P-31c (No. 163)
Symmetry-distinct sites (fractional):
Ba1 0.0000 0.0000 0.0000
Cd1 0.3333 0.6667 0.2500
Pb1 0.3333 0.6667 0.7500
Cl1 0.0252 0.3687 0.1336

VASP energy = -63.59 eV per cell

No. 15
The following is a DFT calculation (GGA-PBE) of a relaxed structure of ScPI.

a b c (Å): 7.241 13.188 3.748
angles (deg): 90.00 120.94 90.00
Space group C2/m (No. 12)
Symmetry-distinct sites (fractional):
Sc1 0.000 0.122 0.000
P1 0.178 0.000 0.694
I1 0.000 0.298 0.500

VASP energy = -65.16 eV per cell

No. 16
The following is a DFT calculation (GGA-PBE) of a relaxed structure of BaCu5AgP2.

a b c (Å): 4.152 4.152 8.946
angles (deg): 90.00 90.00 90.00
Space group P4/mmm (No. 123)
Symmetry-distinct sites (fractional):
Ba1 0.000 0.000 0.000
Cu1 0.000 0.500 0.315
Cu2 0.500 0.500 0.500
Ag1 0.000 0.000 0.500
P1 0.500 0.500 0.204

energy of formation = -2.637 eV per formula unit
VASP energy = -38.71 eV per cell

No. 17
The following is a DFT calculation (GGA-PBE) of a relaxed structure of YTaCr2.

a b c (Å): 3.886 3.886 9.727
angles (deg): 90.00 90.00 90.00
Space group I-4m2 (No. 119)
Symmetry-distinct sites (fractional):
Y1 0.000 0.000 0.000
Ta1 0.000 0.500 0.250
Cr1 0.000 0.000 0.500
Cr2 0.000 0.500 0.750

offset from the most stable computed form = 0.3437 eV per atom
energy of formation = 2.594 eV per formula unit
VASP energy = -69.94 eV per cell

No. 18
The following is a DFT calculation (GGA-PBE) of a relaxed structure of V5Sn3S12.

a b c (Å): 15.098 15.098 15.098
angles (deg): 90.00 90.00 90.00
Space group Ia-3d (No. 230)
Symmetry-distinct sites (fractional):
V1 0.000 0.000 0.000
V2 0.000 0.250 0.375
Sn1 0.000 0.250 0.125
S1 0.032 0.051 0.649

VASP energy = -958.19 eV per cell

No. 19
The following is a DFT calculation (GGA-PBE) of a relaxed structure of TiAl3O.

a b c (Å): 5.081 5.081 5.081
angles (deg): 90.00 90.00 90.00
Space group Pm-3m (No. 221)
Symmetry-distinct sites (fractional):
Ti1 0.000 0.000 0.000
Al1 0.000 0.000 0.500
O1 0.500 0.500 0.500

offset from the most stable computed form = 1.8209 eV per atom
VASP energy = -18.02 eV per cell

No. 20
The following is a DFT calculation (GGA-PBE) of a relaxed structure of SbTeW2.

a b c (Å): 3.326 4.459 12.055
angles (deg): 90.00 90.00 90.00
Space group Imm2 (No. 44)
Symmetry-distinct sites (fractional):
Sb1 0.000 0.000 0.000
Te1 0.000 0.500 0.234
W1 0.000 0.000 0.515
W2 0.000 0.500 0.853

offset from the most stable computed form = 0.4312 eV per atom
VASP energy = -60.65 eV per cell